Arrangement a

Below is crystalline Nd2Dy6In at its relaxed geometry, with properties calculated at the PBE level.

Values from the calculation:
Density of states at the Fermi level ... 10.034 states/eV/cell

POSCAR file:
```
Nd2Dy6In
1.0
3.504 0.000 -0.150
0.000 10.207 0.000
-1.403 -5.104 8.054
Nd Dy In
2 6 1
Direct
0.152 0.652 0.303
0.848 0.348 0.697
0.177 0.339 0.354
0.823 0.985 0.646
0.823 0.661 0.646
0.500 0.295 0.000
0.177 0.015 0.354
0.500 0.705 0.000
0.000 0.000 0.000
```

Arrangement b

Below is crystalline Nd2Dy6In at its relaxed geometry, with properties calculated at the PBE level.

Values from the calculation:
Density of states at the Fermi level ... 26.713 states/eV/cell

POSCAR file:
```
Nd2Dy6In
1.0
0.915 5.336 3.926
-1.535 -8.035 12.894
5.927 1.946 2.410
Nd Dy In
4 12 2
Direct
0.129 0.699 0.417
0.583 0.801 0.871
0.871 0.301 0.583
0.417 0.199 0.129
0.225 0.467 0.549
0.451 0.033 0.775
0.775 0.533 0.451
0.549 0.967 0.225
0.011 0.083 0.672
0.328 0.417 0.989
0.989 0.917 0.328
0.672 0.583 0.011
0.127 0.861 0.764
0.236 0.639 0.873
0.873 0.139 0.236
0.764 0.361 0.127
0.677 0.750 0.323
0.323 0.250 0.677
```

Most stable of them? arrangement b.

Arrangement a

Below is crystalline Nd3Dy2In3 at its relaxed geometry, with properties calculated at the PBE level.

Values from the calculation:
Density of states at the Fermi level ... 7.318 states/eV/cell

POSCAR file:
```
Nd3Dy2In3
1.0
-4.835 1.604 -1.698
-2.596 -5.071 2.599
3.340 6.580 5.196
Nd Dy In
3 2 3
Direct
0.623 0.203 0.246
0.500 0.500 0.000
0.377 0.797 0.754
0.234 0.154 0.468
0.766 0.846 0.532
0.153 0.563 0.306
0.847 0.437 0.694
0.000 0.000 0.000
```

Arrangement b

Below is crystalline Nd3Dy2In3 at its relaxed geometry, with properties calculated at the PBE level.

Values from the calculation:
Density of states at the Fermi level ... 7.896 states/eV/cell

POSCAR file:
```
Nd3Dy2In3
1.0
3.794 0.000 -0.611
-0.206 5.317 -1.278
-0.035 0.036 11.867
Nd Dy In
3 2 3
Direct
0.376 0.376 0.752
0.624 0.624 0.248
0.500 0.000 0.000
0.265 0.765 0.531
0.735 0.235 0.469
0.878 0.878 0.756
0.000 0.500 0.000
0.122 0.122 0.244
```

Most stable of them? arrangement b.

Arrangement a

Below is crystalline NdDy3In4 at its relaxed geometry, with properties calculated at the PBE level.

Values from the calculation:
Density of states at the Fermi level ... 6.654 states/eV/cell

POSCAR file:
```
NdDy3In4
1.0
-1.294 -1.716 -2.696
-0.671 -5.881 4.065
-7.701 6.486 1.774
Nd Dy In
1 3 4
Direct
0.500 0.000 0.000
0.000 0.500 0.000
0.220 0.219 0.439
0.780 0.781 0.561
0.372 0.581 0.743
0.628 0.419 0.257
0.628 0.837 0.257
0.372 0.163 0.743
```

Arrangement b

Below is crystalline NdDy3In4 at its relaxed geometry, with properties calculated at the PBE level.

Values from the calculation:
Density of states at the Fermi level ... 9.766 states/eV/cell

POSCAR file:
```
NdDy3In4
1.0
5.510 0.000 0.000
0.000 7.289 0.000
0.000 0.000 10.830
In Nd Dy
8 2 6
Direct
0.500 0.757 0.000
0.500 0.757 0.500
0.500 0.243 0.000
0.500 0.243 0.500
0.079 0.757 0.750
0.921 0.757 0.250
0.921 0.243 0.250
0.079 0.243 0.750
0.000 0.500 0.000
0.000 0.500 0.500
0.000 0.000 0.000
0.000 0.000 0.500
0.573 0.000 0.750
0.427 0.000 0.250
0.564 0.500 0.750
0.436 0.500 0.250
```

Most stable of them? arrangement b.

Arrangement a

Below is crystalline NdDyIn at its relaxed geometry, with properties calculated at the PBE level.

Values from the calculation:
Density of states at the Fermi level ... 2.764 states/eV/cell

POSCAR file:
```
NdDyIn
1.0
-1.099 0.696 3.364
-2.735 -2.315 -0.414
5.928 -4.355 0.903
Dy Nd In
1 1 1
Direct
0.298 0.298 0.596
0.606 0.606 0.213
0.946 0.946 0.891
```

Arrangement b

Below is crystalline NdDyIn at its relaxed geometry, with properties calculated at the PBE level.

Values from the calculation:
Density of states at the Fermi level ... 8.391 states/eV/cell

POSCAR file:
```
NdDyIn
1.0
4.653 0.000 0.000
0.000 4.653 0.000
0.000 0.000 8.528
Nd In Dy
2 2 2
Direct
0.000 0.000 0.000
0.500 0.500 0.000
0.000 0.500 0.278
0.500 0.000 0.722
0.000 0.500 0.642
0.500 0.000 0.358
```

Most stable of them? arrangement a.